VASP calculation (PBE) on crystalline CaNd2Cd4 at its relaxed geometry.

```
CaNd2Cd4
1.0
5.092 0.000 1.591
2.297 4.544 1.591
-0.063 -0.039 9.147
Nd Cd Ca
2 4 1
direct
0.750 0.750 0.751
0.250 0.250 0.249
0.381 0.381 0.858
0.619 0.619 0.142
0.874 0.874 0.379
0.126 0.126 0.621
0.000 0.000 0.000
```

total moment: 0.0 μB/f.u.
DOS at the Fermi energy: 4.56 states/eV/f.u.
ΔH_f (0 K): -150.1 meV/atom
crystal system: trigonal
V: 30.33 A^3/atom